1.
# TlCoCuHg

A geometry-optimized TlCoCuHg structure (PBE, OQMD).

* energy above the most stable polymorph in this dataset: 0.0 kJ per mole of atoms
* density: 12.988 g/cm3

Cell and atoms, written as POSCAR:
```
TlCoCuHg
1.0
1.9480 -0.2673 4.1240
-0.6275 3.3486 3.0442
-2.5775 -0.7306 3.7009
Tl Cu Hg Co
1 1 1 1
direct
0.0000 0.0000 0.0000
0.2500 0.2500 0.2500
0.5000 0.5000 0.5000
0.7500 0.7500 0.7500
```

***

2.
# ZnCoCuHg

A geometry-optimized ZnCoCuHg structure (PBE, OQMD).

* energy above the most stable polymorph in this dataset: 0.0 kJ per mole of atoms
* ΔH_f (0 K): 0.230 eV/atom
* density: 11.244 g/cm3

Cell and atoms, written as POSCAR:
```
ZnCoCuHg
1.0
0.0000 3.0612 3.0612
3.0612 0.0000 3.0612
3.0612 3.0612 0.0000
Hg Cu Zn Co
1 1 1 1
direct
0.5000 0.5000 0.5000
0.2500 0.2500 0.2500
0.0000 0.0000 0.0000
0.7500 0.7500 0.7500
```

***

3.
# Ho2CoCu

A geometry-optimized Ho2CoCu structure (PBE, OQMD).

* ΔH_f (0 K): -0.245 eV/atom
* density: 9.328 g/cm3

Cell and atoms, written as POSCAR:
```
Ho2CoCu
1.0
5.4718 0.0000 0.0000
0.0000 4.1608 0.0000
-0.0300 0.0000 7.0741
Ho Cu Co
4 2 2
direct
0.6314 0.7500 0.1966
0.1354 0.2500 0.3348
0.8646 0.7500 0.6652
0.3686 0.2500 0.8034
0.8751 0.2500 0.9664
0.1249 0.7500 0.0336
0.6302 0.2500 0.4625
0.3698 0.7500 0.5375
```

***

4.
# HoCoCu

A geometry-optimized HoCoCu structure (PBE, OQMD).

* ΔH_f (0 K): 0.660 eV/atom
* density: 8.127 g/cm3

Cell and atoms, written as POSCAR:
```
HoCoCu
1.0
0.0000 3.0851 3.0851
3.0851 0.0000 3.0851
3.0851 3.0851 0.0000
Cu Ho Co
1 1 1
direct
0.5000 0.5000 0.5000
0.2500 0.2500 0.2500
0.0000 0.0000 0.0000
```

***

5.
# Ho2CoCu

A geometry-optimized Ho2CoCu structure (PBE, OQMD).

* ΔH_f (0 K): -0.240 eV/atom
* density: 9.309 g/cm3

Cell and atoms, written as POSCAR:
```
Ho2CoCu
1.0
-0.9828 -1.2709 3.9630
3.6757 -3.9232 -0.3466
4.8618 4.3260 2.5930
Ho Cu Co
4 2 2
direct
0.0000 0.6084 0.1820
0.5000 0.1240 0.3199
0.0000 0.3916 0.6820
0.5000 0.8760 0.8199
0.0000 0.1243 0.0332
0.0000 0.8757 0.5332
0.5000 0.6216 0.4649
0.5000 0.3784 0.9649
```

***

6.
# Ho2TmIn3Co2Cu

A geometry-optimized Ho2TmIn3Co2Cu structure (PBE, OQMD).

* density: 9.457 g/cm3
* total energy: -4.755 eV per atom

Cell and atoms, written as POSCAR:
```
Ho2TmIn3Co2Cu
1.0
3.8399 0.0000 0.0000
0.0000 6.3700 3.6776
0.0000 -6.3700 3.6776
In Ho Co Tm Cu
3 2 2 1 1
direct
0.5000 0.0010 0.2598
0.5000 0.7394 0.7394
0.5000 0.2598 0.0010
0.0000 0.5868 0.0000
0.0000 0.0000 0.5868
0.5000 0.3337 0.6660
0.5000 0.6660 0.3337
0.0000 0.4127 0.4127
0.0000 0.0007 0.0007
```

***

7.
# Ho2CoCuSi4

A geometry-optimized Ho2CoCuSi4 structure (PBE, OQMD).

* density: 7.174 g/cm3
* total energy: -5.904 eV per atom

Cell and atoms, written as POSCAR:
```
Ho2CoCuSi4
1.0
3.9694 0.0000 0.0000
0.0000 1.9946 8.2549
0.0000 -1.9946 8.2549
Cu Co Si Ho
1 1 4 2
direct
0.5000 0.8280 0.8280
0.0000 0.1795 0.1795
0.0000 0.0444 0.0444
0.0000 0.7448 0.7448
0.5000 0.9654 0.9654
0.5000 0.2449 0.2449
0.0000 0.3908 0.3908
0.5000 0.6021 0.6021
```

***

8.
# LiIn2CoCu4

A geometry-optimized LiIn2CoCu4 structure (PBE, OQMD).

* density: 8.112 g/cm3
* total energy: -3.621 eV per atom

Cell and atoms, written as POSCAR:
```
LiIn2CoCu4
1.0
-3.4723 -1.0635 -2.2600
2.3973 -2.5055 -2.5042
-1.0082 -4.7444 3.7816
Li Cu In Co
1 4 2 1
direct
0.5000 0.5000 0.0000
0.0000 0.5000 0.7461
0.5000 0.0000 0.7461
0.0000 0.5000 0.2539
0.5000 0.0000 0.2539
0.0000 0.0000 0.0000
0.5000 0.5000 0.5000
0.0000 0.0000 0.5000
```